1.
First-principles (PBE) data for Rb4Ho3ScSe8 after structural relaxation, as listed in the Alexandria database.

Unit cell a=8.363 b=9.324 c=8.363 alpha=116.67 beta=120.00 gamma=90.00
Element x y z (fractional)
Rb 0.500 0.000 0.000
Rb 0.500 0.000 0.500
Rb 0.000 0.000 0.000
Rb 0.000 0.000 0.500
Ho 0.500 0.500 0.000
Ho 0.500 0.500 0.500
Ho 0.000 0.500 0.500
Sc 0.000 0.500 0.000
Se 0.226 0.691 0.966
Se 0.226 0.691 0.452
Se 0.268 0.304 0.536
Se 0.740 0.691 0.966
Se 0.260 0.309 0.034
Se 0.732 0.696 0.464
Se 0.774 0.309 0.548
Se 0.774 0.309 0.034

Summary:
The space group is R-3m (166). The value obtained for the total magnetization is 0.00 Bohr magnetons per cell. As for the uncorrected formation energy: -1694 meV/atom. The energy comes out at -78.91 eV per cell.

2.
First-principles (PBE) data for K2ScCd after structural relaxation, as listed in the Alexandria database.

Unit cell a=4.285 b=4.285 c=8.547 alpha=90.00 beta=90.00 gamma=90.00
Last column: magnetic moment on the atom in μB.
Element x y z (fractional)
Cd 0.500 0.500 0.750  -0.01
K 0.000 0.000 0.980  0.01
K 0.000 0.000 0.520  0.01
Sc 0.500 0.500 0.250  0.72

Summary:
The space group is P4/mmm (123). The value obtained for the total magnetization is 1.25 Bohr magnetons per cell. The energy comes out at -7.46 eV per cell.

3.
First-principles (PBE) data for Mg2CuCl after structural relaxation, as listed in the Alexandria database.

Unit cell a=4.931 b=4.931 c=4.931 alpha=60.00 beta=60.00 gamma=60.00
Element x y z (fractional)
Cl 0.500 0.500 0.500
Cu 0.750 0.750 0.750
Mg 0.000 0.000 0.000
Mg 0.250 0.250 0.250

Summary:
The space group is F-43m (216). The value obtained for the total magnetization is 0.00 Bohr magnetons per cell. As for the uncorrected formation energy: 226 meV/atom. The energy comes out at -8.23 eV per cell.

4.
First-principles (PBE) data for Ba2AcAg3O6 after structural relaxation, as listed in the Alexandria database.

Unit cell a=4.195 b=4.195 c=12.827 alpha=90.00 beta=90.00 gamma=90.00
Element x y z (fractional)
Ba 0.500 0.500 0.199
Ba 0.500 0.500 0.801
Ac 0.500 0.500 0.500
Ag 0.000 0.000 0.355
Ag 0.000 0.000 0.645
Ag 0.000 0.000 0.000
O 0.000 0.500 0.626
O 0.500 0.000 0.374
O 0.500 0.000 0.626
O 0.000 0.000 0.160
O 0.000 0.500 0.374
O 0.000 0.000 0.840

Summary:
The space group is P4/mmm (123). The value obtained for the total magnetization is 0.00 Bohr magnetons per cell. As for the uncorrected formation energy: -1576 meV/atom. The energy comes out at -65.17 eV per cell.

5.
First-principles (PBE) data for TbMn2V after structural relaxation, as listed in the Alexandria database.

Unit cell a=3.036 b=3.036 c=8.726 alpha=79.98 beta=79.98 gamma=60.00
Last column: magnetic moment on the atom in μB.
Element x y z (fractional)
Mn 0.736 0.736 0.792  2.72
Mn 0.264 0.264 0.208  2.72
Tb 0.500 0.500 0.500  -0.18
V 0.000 0.000 0.000  -1.31

Summary:
The space group is R-3m (166). The value obtained for the total magnetization is 4.00 Bohr magnetons per cell. The energy comes out at -30.18 eV per cell.

6.
First-principles (PBE) data for Pu2GeO11 after structural relaxation, as listed in the Alexandria database.

Unit cell a=9.796 b=8.438 c=8.439 alpha=69.30 beta=54.52 gamma=54.52
Last column: magnetic moment on the atom in μB.
Element x y z (fractional)
Pu 0.652 0.729 0.271  1.24
Pu 0.419 0.243 0.757  1.04
Pu 0.848 0.229 0.771  1.24
Pu 0.081 0.743 0.257  1.04
Ge 0.750 0.728 0.772  -0.01
Ge 0.250 0.228 0.272  -0.01
O 0.537 0.734 0.534  -0.12
O 0.544 0.241 0.492  -0.08
O 0.278 0.508 0.759  -0.08
O 0.963 0.966 0.766  -0.12
O 0.805 0.466 0.266  -0.12
O 0.956 0.008 0.259  -0.08
O 0.222 0.741 0.992  -0.08
O 0.695 0.234 0.034  -0.12
O 0.405 0.662 0.338  0.58
O 0.095 0.162 0.838  0.58
O 0.869 0.748 0.252  -0.07
O 0.166 0.273 0.727  0.55
O 0.631 0.248 0.752  -0.07
O 0.334 0.773 0.227  0.55
O 0.458 0.021 0.277  -0.03
O 0.546 0.947 0.771  -0.03
O 0.264 0.229 0.053  -0.03
O 0.042 0.223 0.479  -0.03
O 0.756 0.723 0.979  -0.03
O 0.954 0.729 0.553  -0.03
O 0.236 0.447 0.271  -0.03
O 0.744 0.521 0.777  -0.03

Summary:
The space group is Ima2 (46). The value obtained for the total magnetization is 6.06 Bohr magnetons per cell. As for the uncorrected formation energy: -1538 meV/atom. The energy comes out at -218.72 eV per cell.

7.
First-principles (PBE) data for TaVIr after structural relaxation, as listed in the Alexandria database.

Unit cell a=2.842 b=2.842 c=6.118 alpha=103.43 beta=103.43 gamma=90.00
Last column: magnetic moment on the atom in μB.
Element x y z (fractional)
V 0.604 0.604 0.208  0.47
Ir 0.961 0.961 0.923  0.00
Ta 0.285 0.285 0.569  0.02

Summary:
The space group is I4mm (107). The value obtained for the total magnetization is 0.55 Bohr magnetons per cell. The energy comes out at -30.77 eV per cell.

8.
First-principles (PBE) data for DyEr3Rh after structural relaxation, as listed in the Alexandria database.

Unit cell a=6.088 b=6.462 c=7.493 alpha=90.01 beta=90.00 gamma=90.00
Element x y z (fractional)
Dy 0.432 0.326 0.701
Dy 0.932 0.027 0.201
Er 0.418 0.328 0.201
Er 0.426 0.864 0.951
Er 0.926 0.489 0.452
Er 0.918 0.025 0.701
Er 0.926 0.489 0.950
Er 0.426 0.864 0.450
Rh 0.176 0.678 0.701
Rh 0.676 0.674 0.201

Summary:
The space group is Pmn2_1 (31). The value obtained for the total magnetization is 0.00 Bohr magnetons per cell. The energy comes out at -54.38 eV per cell.